[1]
CsTmPdSe3 | GGA-PBE | optimized geometry

Its total magnetization is 0.0 μB per cell. As for the space-group type: P2_1/m, No. 11. The calculation puts the polymorph energy (0 for the lowest one) at 0 meV/atom.

Cell: 9.5732 4.1531 10.1347 Å, 90.00 113.06 90.00°
With the nearest neighbours (Å) after each atom.
Atoms (fractional coordinates):
Tm 0.1766 0.7500 0.1354  6 Se 2.77-2.91
Tm 0.8234 0.2500 0.8646  6 Se 2.77-2.91
Cs 0.2792 0.2500 0.7516  7 Se 3.61-3.78
Cs 0.7208 0.7500 0.2484  7 Se 3.61-3.78
Se 0.3786 0.2500 0.1363  1 Pd 2.61, 2 Tm 2.84
Se 0.9800 0.2500 0.1598  3 Tm 2.77-2.88
Se 0.0200 0.7500 0.8402  3 Tm 2.77-2.88
Se 0.7035 0.2500 0.5530  3 Pd 2.49-2.55
Se 0.6214 0.7500 0.8637  1 Pd 2.61, 2 Tm 2.84
Se 0.2965 0.7500 0.4470  3 Pd 2.49-2.55
Pd 0.4178 0.2500 0.4064  4 Se 2.49-2.61
Pd 0.5822 0.7500 0.5936  4 Se 2.49-2.61

[2]
CsTmPdSe3 | GGA-PBE | optimized geometry

Its total magnetization is 0.0 μB per cell. As for the space-group type: Cmcm, No. 63. The calculation puts the polymorph energy (0 for the lowest one) at 5 meV/atom.

Cell: 8.5458 8.5458 10.2458 Å, 90.00 90.00 152.26°
With the nearest neighbours (Å) after each atom.
Atoms (fractional coordinates):
Pd 0.5162 0.4838 0.7500  4 Se 2.52-2.55
Pd 0.4838 0.5162 0.2500  4 Se 2.52-2.55
Tm 0.0000 0.0000 0.5000  6 Se 2.85
Tm 0.0000 0.0000 0.0000  6 Se 2.85
Se 0.3868 0.6132 0.4388  1 Pd 2.52
Se 0.6132 0.3868 0.5612  1 Pd 2.52
Se 0.3868 0.6132 0.0612  1 Pd 2.52
Se 0.9246 0.0754 0.7500  2 Pd 2.55, 2 Tm 2.85
Se 0.6132 0.3868 0.9388  1 Pd 2.52
Se 0.0754 0.9246 0.2500  2 Pd 2.55, 2 Tm 2.85
Cs 0.2491 0.7509 0.7500  8 Se 3.56-3.92
Cs 0.7509 0.2491 0.2500  8 Se 3.56-3.92

[3]
Cs2UPd3Se6 | GGA-PBE | optimized geometry

Its total magnetization is 4.0 μB per cell. As for the space-group type: Fmmm, No. 69.

Cell: 11.8681 10.1532 9.4412 Å, 74.46 55.51 50.03°
With the nearest neighbours (Å) after each atom.
Atoms (fractional coordinates):
Pd 0.1680 0.8320 0.8320  4 Se 2.49
Pd 0.8320 0.1680 0.1680  4 Se 2.49
Pd 0.4951 0.8276 0.5049  4 Se 2.50-2.52
Pd 0.1724 0.5049 0.8276  4 Se 2.50-2.52
Pd 0.5049 0.1724 0.4951  4 Se 2.50-2.52
Pd 0.8276 0.4951 0.1724  4 Se 2.50-2.52
Se 0.0237 0.1791 0.1933  2 Pd 2.49-2.52
Se 0.9763 0.8209 0.8067  2 Pd 2.49-2.52
Se 0.8067 0.3961 0.9763  2 Pd 2.49-2.52
Se 0.8097 0.5973 0.4027  2 Pd 2.50
Se 0.6039 0.1933 0.1791  2 Pd 2.49-2.52
Se 0.5973 0.8097 0.1903  2 Pd 2.50
Se 0.4027 0.1903 0.8097  2 Pd 2.50
Se 0.1933 0.6039 0.0237  2 Pd 2.49-2.52
Se 0.1791 0.0237 0.6039  2 Pd 2.49-2.52
Se 0.8209 0.9763 0.3961  2 Pd 2.49-2.52
Se 0.3961 0.8067 0.8209  2 Pd 2.49-2.52
Se 0.1903 0.4027 0.5973  2 Pd 2.50
U 0.8325 0.8325 0.1675  6 Se 2.81-2.83
U 0.1675 0.1675 0.8325  6 Se 2.81-2.83
Cs 0.7500 0.7500 0.7500  8 Se 3.51
Cs 0.6967 0.3033 0.6967  10 Se 3.86-4.05
Cs 0.2500 0.2500 0.2500  8 Se 3.51
Cs 0.3033 0.6967 0.3033  10 Se 3.86-4.05

[4]
CsYPdSe3 | GGA-PBE | optimized geometry

Its total magnetization is 0.0 μB per cell. As for the space-group type: Cmcm, No. 63.

Cell: 8.5446 8.5446 10.4180 Å, 90.00 90.00 152.06°
With the nearest neighbours (Å) after each atom.
Atoms (fractional coordinates):
Cs 0.2511 0.7489 0.7500  8 Se 3.56-3.96
Cs 0.7489 0.2511 0.2500  8 Se 3.56-3.96
Pd 0.4830 0.5170 0.2500  4 Se 2.52-2.56
Pd 0.5170 0.4830 0.7500  4 Se 2.52-2.56
Y 0.0000 0.0000 0.0000  6 Se 2.88-2.89
Y 0.0000 0.0000 0.5000  6 Se 2.88-2.89
Se 0.6149 0.3851 0.9352  1 Pd 2.52
Se 0.3851 0.6149 0.0648  1 Pd 2.52
Se 0.3851 0.6149 0.4352  1 Pd 2.52
Se 0.6149 0.3851 0.5648  1 Pd 2.52
Se 0.0740 0.9260 0.2500  2 Pd 2.56
Se 0.9260 0.0740 0.7500  2 Pd 2.56

[5]
CsZrPdSe3 | GGA-PBE | optimized geometry

Its total magnetization is 0.0 μB per cell. As for the space-group type: P2_1/m, No. 11.

Cell: 9.3411 3.9376 10.3263 Å, 90.00 115.44 90.00°
With the nearest neighbours (Å) after each atom.
Atoms (fractional coordinates):
Se 0.5211 0.7500 0.3608  3 Zr 2.78-2.79
Se 0.8800 0.2500 0.6302  1 Pd 2.61, 2 Zr 2.71
Se 0.7740 0.7500 0.9412  3 Pd 2.51-2.69, 1 Zr 2.69
Se 0.4789 0.2500 0.6392  3 Zr 2.78-2.79
Se 0.2260 0.2500 0.0588  3 Pd 2.51-2.69, 1 Zr 2.69
Se 0.1200 0.7500 0.3698  1 Pd 2.61, 2 Zr 2.71
Cs 0.2400 0.7500 0.7610  7 Se 3.58-3.70, 2 Cs 3.94
Cs 0.7600 0.2500 0.2390  7 Se 3.58-3.70, 2 Cs 3.94
Pd 0.9119 0.2500 0.8937  4 Se 2.51-2.69
Pd 0.0881 0.7500 0.1063  4 Se 2.51-2.69
Zr 0.3034 0.2500 0.3415  6 Se 2.69-2.79
Zr 0.6966 0.7500 0.6585  6 Se 2.69-2.79

[6]
CsZrPdSe3 | GGA-PBE | optimized geometry

Its total magnetization is 0.0 μB per cell. As for the space-group type: Pnma, No. 62.

Cell: 16.3765 3.9336 10.5554 Å, 90.00 90.00 90.00°
With the nearest neighbours (Å) after each atom.
Atoms (fractional coordinates):
Se 0.4190 0.7500 0.9279  3 Zr 2.77-2.79
Se 0.0854 0.7500 0.1282  3 Pd 2.51-2.71, 1 Zr 2.69
Se 0.9146 0.2500 0.8718  3 Pd 2.51-2.71, 1 Zr 2.69
Se 0.5854 0.7500 0.3718  3 Pd 2.51-2.71, 1 Zr 2.69
Se 0.9190 0.7500 0.5721  3 Zr 2.77-2.79
Se 0.8743 0.2500 0.2664  1 Pd 2.61, 2 Zr 2.71
Se 0.1257 0.7500 0.7336  1 Pd 2.61, 2 Zr 2.71
Se 0.6257 0.7500 0.7664  1 Pd 2.61, 2 Zr 2.71
Se 0.0810 0.2500 0.4279  3 Zr 2.77-2.79
Se 0.5810 0.2500 0.0721  3 Zr 2.77-2.79
Se 0.3743 0.2500 0.2336  1 Pd 2.61, 2 Zr 2.71
Se 0.4146 0.2500 0.6282  3 Pd 2.51-2.71, 1 Zr 2.69
Pd 0.9918 0.2500 0.0989  4 Se 2.51-2.71
Pd 0.5082 0.7500 0.5989  4 Se 2.51-2.71
Pd 0.4918 0.2500 0.4011  4 Se 2.51-2.71
Pd 0.0082 0.7500 0.9011  4 Se 2.51-2.71
Zr 0.4817 0.7500 0.1741  6 Se 2.69-2.79
Zr 0.5183 0.2500 0.8259  6 Se 2.69-2.79
Zr 0.9817 0.7500 0.3259  6 Se 2.69-2.79
Zr 0.0183 0.2500 0.6741  6 Se 2.69-2.79
Cs 0.2612 0.7500 0.4582  7 Se 3.56-3.66, 2 Cs 3.93
Cs 0.7388 0.2500 0.5418  7 Se 3.56-3.66, 2 Cs 3.93
Cs 0.2388 0.2500 0.9582  7 Se 3.56-3.66, 2 Cs 3.93
Cs 0.7612 0.7500 0.0418  7 Se 3.56-3.66, 2 Cs 3.93

[7]
CsSi5Pd3 | GGA-PBE | optimized geometry

As for the space-group type: P6/mmm, No. 191.

Cell: 5.2833 5.2833 8.2373 Å, 90.00 90.00 120.00°
With the nearest neighbours (Å) after each atom.
Atoms (fractional coordinates):
Pd 0.5000 0.0000 0.5000  6 Si 2.56-2.64, 4 Pd 2.64
Pd 0.0000 0.5000 0.5000  6 Si 2.56-2.64, 4 Pd 2.64
Pd 0.5000 0.5000 0.5000  6 Si 2.56-2.64, 4 Pd 2.64
Si 0.6667 0.3333 0.2510  3 Pd 2.56
Si 0.0000 0.0000 0.5000  6 Pd 2.64
Si 0.6667 0.3333 0.7490  3 Pd 2.56
Si 0.3333 0.6667 0.7490  3 Pd 2.56
Si 0.3333 0.6667 0.2510  3 Pd 2.56
Cs 0.0000 0.0000 0.0000  14 Si 3.69-4.12

[8]
CsSmPd | GGA-PBE | optimized geometry

Its total magnetization is 0.0 μB per cell. As for the space-group type: F-43m, No. 216. The calculation puts the polymorph energy (0 for the lowest one) at 333 meV/atom.

Cell: 5.0498 5.0498 5.0498 Å, 60.00 60.00 60.00°
With the nearest neighbours (Å) after each atom.
Atoms (fractional coordinates):
Sm 0.2500 0.2500 0.2500  4 Cs 3.09
Cs 0.0000 0.0000 0.0000  4 Pd 3.09, 4 Sm 3.09
Pd 0.7500 0.7500 0.7500  4 Cs 3.09

[9]
CsSmPd | GGA-PBE | optimized geometry

Its total magnetization is 0.0 μB per cell. As for the space-group type: F-43m, No. 216. The calculation puts the polymorph energy (0 for the lowest one) at 0 meV/atom.

Cell: 5.1068 5.1068 5.1068 Å, 60.00 60.00 60.00°
With the nearest neighbours (Å) after each atom.
Atoms (fractional coordinates):
Pd 0.7500 0.7500 0.7500  4 Sm 3.13
Sm 0.0000 0.0000 0.0000  4 Pd 3.13, 4 Cs 3.13
Cs 0.2500 0.2500 0.2500  4 Sm 3.13

[10]
CsSnPd | GGA-PBE | optimized geometry

As for the space-group type: F-43m, No. 216.

Cell: 5.2164 5.2164 5.2164 Å, 60.00 60.00 60.00°
With the nearest neighbours (Å) after each atom.
Atoms (fractional coordinates):
Cs 0.5000 0.5000 0.5000  4 Pd 3.19
Sn 0.0000 0.0000 0.0000  4 Pd 3.19
Pd 0.2500 0.2500 0.2500  4 Cs 3.19, 4 Sn 3.19

[11]
CsSn5Pd3 | GGA-PBE | optimized geometry

As for the space-group type: P6/mmm, No. 191.

Cell: 5.5781 5.5781 8.9845 Å, 90.00 90.00 120.00°
With the nearest neighbours (Å) after each atom.
Atoms (fractional coordinates):
Cs 0.0000 0.0000 0.0000  12 Sn 3.88
Pd 0.0000 0.5000 0.5000  6 Sn 2.79-2.84, 4 Pd 2.79
Pd 0.5000 0.0000 0.5000  4 Pd 2.79, 6 Sn 2.79-2.84
Pd 0.5000 0.5000 0.5000  6 Sn 2.79-2.84, 4 Pd 2.79
Sn 0.3333 0.6667 0.7599  3 Pd 2.84
Sn 0.6667 0.3333 0.2401  3 Pd 2.84
Sn 0.0000 0.0000 0.5000  6 Pd 2.79
Sn 0.6667 0.3333 0.7599  3 Pd 2.84
Sn 0.3333 0.6667 0.2401  3 Pd 2.84

[12]
CsTcPd | GGA-PBE | optimized geometry

Its total magnetization is 4.0 μB per cell. As for the space-group type: F-43m, No. 216. The calculation puts the polymorph energy (0 for the lowest one) at 0 meV/atom.

Cell: 4.9941 4.9941 4.9941 Å, 60.00 60.00 60.00°
With the nearest neighbours (Å) after each atom.
Atoms (fractional coordinates):
Tc 0.7500 0.7500 0.7500  4 Pd 3.06
Cs 0.2500 0.2500 0.2500  4 Pd 3.06
Pd 0.0000 0.0000 0.0000  4 Cs 3.06, 4 Tc 3.06

no.,energy (eV per formula unit)
1,-27.9
2,-27.9
3,-60.1
4,-30.0
5,-31.7
6,-31.7
7,-42.2
8,-8.3
9,-9.3
10,-9.1
11,-39.3
12,-11.7